Material: Rb4LiU3S12
Method: DFT, PBE-GGA
State: relaxed

Cell and atoms, written as POSCAR:
```
Rb4LiU3S12
1.0
-5.188 5.188 5.188
5.188 -5.188 5.188
5.188 5.188 -5.188
Rb Li U S
4 1 3 12
direct
0.000 0.000 0.500
0.000 0.500 0.000
0.500 0.000 0.000
0.500 0.500 0.500
0.000 0.000 0.000
0.000 0.500 0.500
0.500 0.000 0.500
0.500 0.500 0.000
0.000 0.264 0.264
0.000 0.736 0.736
0.250 0.500 0.750
0.250 0.750 0.500
0.264 0.000 0.264
0.264 0.264 0.000
0.500 0.250 0.750
0.500 0.750 0.250
0.736 0.000 0.736
0.736 0.736 0.000
0.750 0.250 0.500
0.750 0.500 0.250
```

Values from the calculation:
Crystal system: cubic
Spin magnetization in μB per cell: 0.000
Uncorrected formation energy in eV per atom: -1.20
Theoretical density in Mg/m³: 4.30